Entry 1:
Computed, not measured: SmZn7Ag5 after structural relaxation at the GGA-PBE level of DFT. Values from VASP.

Energy of formation   -91 meV per atom
Symmetry   Imm2 (44)
Mass density   8.21 g cm⁻³
Calculated total energy   -2.24 eV per atom
Total magnetization   0.00 μB/f.u.

Structure (Quantum ESPRESSO input):
```
&SYSTEM
  ibrav = 0, nat = 13, ntyp = 3
/
ATOMIC_SPECIES
Sm 150.36 Sm.upf
Zn 65.41 Zn.upf
Ag 107.87 Ag.upf
CELL_PARAMETERS angstrom
-2.728 4.646 4.577
2.728 -4.646 4.577
2.728 4.646 -4.577
ATOMIC_POSITIONS crystal
Sm 0.000 0.000 0.000
Zn 0.187 0.687 0.500
Zn 0.229 0.507 0.722
Zn 0.361 0.361 0.000
Zn 0.370 0.017 0.353
Zn 0.653 0.653 0.000
Zn 0.664 0.017 0.647
Zn 0.785 0.507 0.278
Ag 0.024 0.009 0.511
Ag 0.024 0.513 0.015
Ag 0.498 0.009 0.985
Ag 0.498 0.513 0.489
Ag 0.796 0.296 0.500
```

***

Entry 2:
Computed, not measured: MgAg2S2 after structural relaxation at the GGA-PBE level of DFT. Values from VASP.

Symmetry   I4/mmm (139)
Mass density   5.11 g cm⁻³
Calculated total energy   -2.91 eV per atom
Formation energy from raw total energies   199 meV/atom
Total magnetization   0.00 μB/f.u.

Structure (Quantum ESPRESSO input):
```
&SYSTEM
  ibrav = 0, nat = 10, ntyp = 3
/
ATOMIC_SPECIES
Mg 24.30 Mg.upf
Ag 107.87 Ag.upf
S 32.06 S.upf
CELL_PARAMETERS angstrom
3.916 0.000 0.000
0.000 3.916 0.000
0.000 0.000 12.883
ATOMIC_POSITIONS crystal
Mg 0.000 0.000 0.000
Mg 0.500 0.500 0.500
Ag 0.000 0.000 0.397
Ag 0.000 0.000 0.603
Ag 0.500 0.500 0.103
Ag 0.500 0.500 0.897
S 0.000 0.500 0.250
S 0.000 0.500 0.750
S 0.500 0.000 0.250
S 0.500 0.000 0.750
```